No. 1
Here is a relaxed structure of InAuBr2 from Alexandria via LeMat-Bulk. Energies are from PBE.

Computed properties:
polymorph energy (0 for the lowest one): 203.7 meV/atom
crystal system: orthorhombic
total DFT energy (no corrections): -2.550 eV/atom
formation energy (no corrections): -20.2 kJ per mole of atoms

Cell: 5.842 5.842 5.842 Å, 138.30 112.33 82.73°
Fractional positions:
In1 0.000 0.000 0.000
Au1 0.500 0.500 0.000
Br1 0.295 0.795 0.500
Br2 0.705 0.205 0.500

=====

No. 2
Here is a relaxed structure of PmDy2Pd2 from Alexandria via LeMat-Bulk. Energies are from PBE.

Computed properties:
formation energy: -3.12 eV per formula unit
polymorph energy (0 for the lowest one): 70.6 meV/atom
crystal system: monoclinic
total DFT energy (no corrections): -5.492 eV/atom

Cell: 4.944 4.944 6.126 Å, 90.10 90.10 60.06°
Fractional positions:
Pm1 0.000 0.000 0.000
Dy1 0.333 0.333 0.664
Dy2 0.667 0.667 0.336
Pd1 0.333 0.333 0.190
Pd2 0.667 0.667 0.810

=====

No. 3
Here is a relaxed structure of BaSmTm4S8 from Alexandria via LeMat-Bulk. Energies are from PBE.

Computed properties:
crystal system: trigonal
total DFT energy (no corrections): -6.058 eV/atom
formation energy (no corrections): -187.9 kJ per mole of atoms

Cell: 8.241 8.241 8.241 Å, 59.24 59.24 59.24°
Fractional positions:
Ba1 0.000 0.000 0.000
Sm1 0.371 0.371 0.371
Tm1 0.371 0.371 0.878
Tm2 0.371 0.878 0.371
Tm3 0.748 0.748 0.748
Tm4 0.878 0.371 0.371
S1 0.135 0.135 0.569
S2 0.135 0.569 0.135
S3 0.141 0.621 0.621
S4 0.142 0.142 0.142
S5 0.569 0.135 0.135
S6 0.616 0.616 0.616
S7 0.621 0.141 0.621
S8 0.621 0.621 0.141

=====

No. 4
Here is a relaxed structure of Sc2TlIr from Alexandria via LeMat-Bulk. Energies are from PBE.

Computed properties:
formation energy: -1.76 eV per formula unit
crystal system: monoclinic
total DFT energy (no corrections): -6.413 eV/atom

Cell: 3.728 3.728 8.314 Å, 98.63 98.63 51.46°
Fractional positions:
Sc1 0.248 0.248 0.201
Sc2 0.752 0.752 0.799
Tl1 0.000 0.000 0.500
Ir1 0.500 0.500 0.000

=====

No. 5
Here is a relaxed structure of Na2Cu2AsS4 from Alexandria via LeMat-Bulk. Energies are from PBE.

Computed properties:
crystal system: monoclinic
total DFT energy (no corrections): -4.030 eV/atom
formation energy (no corrections): -45.9 kJ per mole of atoms

Cell: 7.301 7.301 7.024 Å, 112.28 112.28 29.36°
Fractional positions:
Na1 0.133 0.133 0.050
Na2 0.867 0.867 0.950
Cu1 0.314 0.314 0.517
Cu2 0.686 0.686 0.483
As1 0.000 0.000 0.500
S1 0.201 0.201 0.694
S2 0.486 0.486 0.744
S3 0.514 0.514 0.256
S4 0.799 0.799 0.306

=====

No. 6
Here is a relaxed structure of InCoSnS2 from Alexandria via LeMat-Bulk. Energies are from PBE.

Computed properties:
polymorph energy (0 for the lowest one): 0.0 meV/atom
crystal system: tetragonal
total DFT energy (no corrections): -3.707 eV/atom
formation energy (no corrections): 68.8 kJ per mole of atoms

Cell: 5.082 5.082 4.889 Å, 90.00 90.00 90.00°
Fractional positions:
In1 0.000 0.000 0.000
Co1 0.000 0.000 0.500
Sn1 0.500 0.500 0.500
S1 0.000 0.500 0.000
S2 0.500 0.000 0.000

=====

No. 7
Here is a relaxed structure of Ho2AlAu from Alexandria via LeMat-Bulk. Energies are from PBE.

Computed properties:
formation energy: -1.57 eV per formula unit
polymorph energy (0 for the lowest one): 232.3 meV/atom
crystal system: trigonal
total DFT energy (no corrections): -4.436 eV/atom

Cell: 8.790 8.790 8.790 Å, 24.46 24.46 24.46°
Fractional positions:
Ho1 0.247 0.247 0.247
Ho2 0.753 0.753 0.753
Al1 0.000 0.000 0.000
Au1 0.500 0.500 0.500

=====

No. 8
Here is a relaxed structure of DyScH from Alexandria via LeMat-Bulk. Energies are from PBE.

Computed properties:
polymorph energy (0 for the lowest one): 86.2 meV/atom
crystal system: orthorhombic
total DFT energy (no corrections): -4.986 eV/atom

Cell: 5.482 3.304 12.365 Å, 90.00 90.00 90.00°
Fractional positions:
Dy1 0.225 0.250 0.182
Dy2 0.275 0.750 0.682
Dy3 0.725 0.250 0.318
Dy4 0.775 0.750 0.818
Sc1 0.211 0.750 0.428
Sc2 0.289 0.250 0.928
Sc3 0.711 0.750 0.072
Sc4 0.789 0.250 0.572
H1 0.169 0.250 0.549
H2 0.331 0.750 0.049
H3 0.669 0.250 0.951
H4 0.831 0.750 0.451

=====

No. 9
Here is a relaxed structure of K2LiZn from Alexandria via LeMat-Bulk. Energies are from PBE.

Computed properties:
formation energy: 0.77 eV per formula unit
crystal system: monoclinic
total DFT energy (no corrections): -1.153 eV/atom

Cell: 4.111 4.420 8.919 Å, 90.00 90.14 90.00°
Fractional positions:
K1 0.000 0.000 0.232
K2 0.000 0.000 0.768
Li1 0.500 0.500 0.500
Zn1 0.500 0.500 0.000

=====

No. 10
Here is a relaxed structure of CePt2 from Alexandria via LeMat-Bulk. Energies are from PBE.

Computed properties:
formation energy: -2.68 eV per formula unit
crystal system: orthorhombic
total DFT energy (no corrections): -6.899 eV/atom

Cell: 5.164 5.164 3.692 Å, 69.06 69.05 41.89°
Fractional positions:
Ce1 0.000 0.000 0.000
Pt1 0.336 0.336 0.664
Pt2 0.664 0.664 0.336

=====

No. 11
Here is a relaxed structure of TbYAu2O8 from Alexandria via LeMat-Bulk. Energies are from PBE.

Computed properties:
crystal system: tetragonal
total DFT energy (no corrections): -5.870 eV/atom
formation energy (no corrections): -105.6 kJ per mole of atoms

Cell: 6.485 6.485 6.485 Å, 131.47 131.47 71.06°
Fractional positions:
Tb1 0.000 0.000 0.000
Y1 0.750 0.250 0.500
Au1 0.250 0.750 0.500
Au2 0.500 0.500 0.000
O1 0.142 0.125 0.518
O2 0.142 0.624 0.017
O3 0.376 0.393 0.518
O4 0.376 0.858 0.983
O5 0.607 0.125 0.983
O6 0.607 0.624 0.482
O7 0.875 0.393 0.017
O8 0.875 0.858 0.482

=====

No. 12
Here is a relaxed structure of Ho2TiTl3S6 from Alexandria via LeMat-Bulk. Energies are from PBE.

Computed properties:
crystal system: monoclinic
total DFT energy (no corrections): -5.354 eV/atom
formation energy (no corrections): -123.3 kJ per mole of atoms

Cell: 6.727 6.727 7.860 Å, 98.29 98.29 119.93°
Fractional positions:
Ho1 0.166 0.834 0.000
Ho2 0.834 0.166 0.000
Ti1 0.500 0.500 0.000
Tl1 0.000 0.000 0.500
Tl2 0.328 0.672 0.500
Tl3 0.672 0.328 0.500
S1 0.125 0.437 0.810
S2 0.252 0.252 0.198
S3 0.437 0.125 0.810
S4 0.563 0.875 0.190
S5 0.748 0.748 0.802
S6 0.875 0.563 0.190